MnCdFe2: single point on PBEsol structure, SCAN.

Energy of formation = 0.25 eV/atom
Final energy = -20.983 eV per atom
Total moment = 2.2405 μB per atom

Lattice parameters (Å, degrees): 5.2779 7.7431 2.6360 90.00 90.00 90.00
Last column: nearest neighbours and their distance in Å.
Space group Cmmm (No. 65)
Inequivalent atoms, fractional coordinates:
Mn 0.0000 0.0000 0.0000  2 Mn 2.64, 2 Cd 2.64, 8 Fe 2.69
Cd 0.0000 0.5000 0.0000  2 Cd 2.64, 2 Mn 2.64, 8 Fe 2.69
Fe 0.2500 0.2500 0.5000  4 Fe 2.64, 4 Cd 2.69, 4 Mn 2.69